# PBE Y2GaB2Ru5, relaxed
# space-group type = P4/mbm
# total magnetic moment = 0.00 μB/cell
# crystal system = tetragonal
# energy of formation = -443.0 meV per atom
# electronic total energy = -8.012 eV per atom
data_Y2GaB2Ru5
_chemical_formula_sum 'Y4 Ga2 B4 Ru10'
_space_group_name_H-M_alt 'P 1'
_space_group_IT_number 1
_cell_length_a 9.5959
_cell_length_b 9.5959
_cell_length_c 3.1231
_cell_angle_alpha 90.00
_cell_angle_beta 90.00
_cell_angle_gamma 90.00
loop_
_space_group_symop_operation_xyz
'x,y,z'
loop_
_atom_site_label
_atom_site_type_symbol
_atom_site_fract_x
_atom_site_fract_y
_atom_site_fract_z
Y1 Y 0.1765 0.3235 0.0000
Y2 Y 0.3235 0.8235 0.0000
Y3 Y 0.6765 0.1765 0.0000
Y4 Y 0.8235 0.6765 0.0000
Ga1 Ga 0.0000 0.0000 0.0000
Ga2 Ga 0.5000 0.5000 0.0000
B1 B 0.1241 0.6241 0.0000
B2 B 0.3759 0.1241 0.0000
B3 B 0.6241 0.8759 0.0000
B4 B 0.8759 0.3759 0.0000
Ru1 Ru 0.0000 0.5000 0.5000
Ru2 Ru 0.0687 0.7814 0.5000
Ru3 Ru 0.2186 0.0687 0.5000
Ru4 Ru 0.2814 0.5687 0.5000
Ru5 Ru 0.4313 0.2814 0.5000
Ru6 Ru 0.5000 0.0000 0.5000
Ru7 Ru 0.5687 0.7186 0.5000
Ru8 Ru 0.7186 0.4313 0.5000
Ru9 Ru 0.7814 0.9313 0.5000
Ru10 Ru 0.9313 0.2186 0.5000